VASP calculation (PBE) on Nd12Sm6Tl after structural relaxation.

Cell: 8.7023 8.7023 8.7023 Å, 88.64 88.64 88.64°
Element x y z (fractional)
Nd 0.7829 0.5371 0.4315
Nd 0.4315 0.7829 0.5371
Nd 0.5371 0.4315 0.7829
Nd 0.2171 0.4629 0.5685
Nd 0.5685 0.2171 0.4629
Nd 0.4629 0.5685 0.2171
Nd 0.0156 0.1825 0.3617
Nd 0.8175 0.6383 0.9844
Nd 0.6383 0.9844 0.8175
Nd 0.9844 0.8175 0.6383
Nd 0.1825 0.3617 0.0156
Nd 0.3617 0.0156 0.1825
Sm 0.7426 0.9025 0.2930
Sm 0.7070 0.2574 0.0975
Sm 0.0975 0.7070 0.2574
Sm 0.2574 0.0975 0.7070
Sm 0.2930 0.7426 0.9025
Sm 0.9025 0.2930 0.7426
Tl 0.0000 0.0000 0.0000

total magnetization: 0.0 μB/f.u.
formation enthalpy at 0 K: 72 meV per atom
space-group type: R-3 (148)